[1]
! PaGaGe2 (PBE, optimized geometry); values from VASP
&SYSTEM
  ibrav = 0, nat = 4, ntyp = 3
/
ATOMIC_SPECIES
Ga 69.72 Ga.upf
Ge 72.64 Ge.upf
Pa 231.04 Pa.upf
ATOMIC_POSITIONS angstrom
Ga -1.584 -1.590 1.211
Ge 0.518 0.369 1.163
Pa -0.386 -0.737 3.897
Ge 1.877 1.337 4.211
CELL_PARAMETERS angstrom
-3.316 0.272 1.392
0.148 -3.453 1.030
2.395 1.706 5.374
! Uncorrected energy, eV/atom: -5.635
! Density, g/cm3: 9.3
! Polymorph energy (0 for the lowest one), eV/atom: 0.274
! Energy of formation from the pure elements, eV/atom: -0.195

---

[2]
! Pa2Ga8Ge (PBE, optimized geometry); values from VASP
&SYSTEM
  ibrav = 0, nat = 11, ntyp = 3
/
ATOMIC_SPECIES
Ga 69.72 Ga.upf
Ge 72.64 Ge.upf
Pa 231.04 Pa.upf
ATOMIC_POSITIONS angstrom
Ga 5.851 -5.936 4.978
Ge 0.000 0.000 0.000
Ga -0.308 -2.200 1.479
Ga 3.913 -1.266 4.212
Pa 2.614 -1.586 1.485
Pa 5.754 -3.491 3.268
Ga 2.772 -4.068 3.229
Ga 0.834 0.602 2.463
Ga 4.052 -3.737 5.945
Ga 6.993 -3.134 5.961
Ga 0.950 -1.855 4.183
CELL_PARAMETERS angstrom
-0.541 2.544 3.671
-2.824 -3.060 1.704
8.368 -5.076 4.753
! Uncorrected energy, eV/atom: -4.539
! Density, g/cm3: 8.2
! Energy of formation from the pure elements, eV/atom: -0.192

---

[3]
! Pa2Ga2Ge3 (PBE, optimized geometry); values from VASP
&SYSTEM
  ibrav = 0, nat = 14, ntyp = 3
/
ATOMIC_SPECIES
Ge 72.64 Ge.upf
Pa 231.04 Pa.upf
Ga 69.72 Ga.upf
ATOMIC_POSITIONS angstrom
Ge -1.152 0.973 1.502
Pa -1.166 -1.649 2.856
Ga 1.503 3.469 0.000
Pa 1.287 1.564 3.004
Pa 3.740 0.085 0.148
Pa 5.951 3.469 0.000
Ge 1.152 -0.973 4.506
Ga 0.316 4.308 3.004
Ge 1.152 1.787 5.917
Ga -2.136 2.182 3.779
Ga -2.136 -3.021 5.233
Ge 3.754 -0.053 3.096
Ge -1.152 6.018 1.411
Ge 3.605 2.654 1.593
CELL_PARAMETERS angstrom
7.359 0.000 0.000
-2.453 6.938 0.000
-2.453 -3.469 6.008
! Uncorrected energy, eV/atom: -5.788
! Density, g/cm3: 8.9
! Energy of formation from the pure elements, eV/atom: -0.231

---

[4]
! Pa4Ga6Ge7 (PBE, optimized geometry); values from VASP
&SYSTEM
  ibrav = 0, nat = 17, ntyp = 3
/
ATOMIC_SPECIES
Pa 231.04 Pa.upf
Ge 72.64 Ge.upf
Ga 69.72 Ga.upf
ATOMIC_POSITIONS angstrom
Pa 3.773 0.000 0.000
Ge 1.258 4.447 1.540
Pa -1.258 3.557 0.000
Ge 3.773 2.668 1.540
Ga 3.530 -2.496 4.324
Ge -1.258 0.889 4.621
Ge 1.258 -0.889 4.621
Ga 1.500 -1.061 1.838
Ga 3.530 4.993 0.000
Pa -1.258 -1.779 3.081
Ga -1.500 1.061 1.838
Ga 1.500 2.122 0.000
Ga -3.530 2.496 4.324
Pa 1.258 1.779 3.081
Ge 3.773 0.000 3.081
Ge -1.258 3.557 3.081
Ge 0.000 0.000 0.000
CELL_PARAMETERS angstrom
7.546 0.000 0.000
-2.515 7.115 0.000
-2.515 -3.557 6.161
! Uncorrected energy, eV/atom: -5.525
! Density, g/cm3: 9.3
! Energy of formation from the pure elements, eV/atom: -0.321

---

[5]
! Pa5GaGe3 (PBE, optimized geometry); values from VASP
&SYSTEM
  ibrav = 0, nat = 18, ntyp = 3
/
ATOMIC_SPECIES
Pa 231.04 Pa.upf
Ga 69.72 Ga.upf
Ge 72.64 Ge.upf
ATOMIC_POSITIONS angstrom
Pa 1.508 2.198 -1.269
Ga 0.000 0.000 0.000
Ge 4.523 4.791 2.766
Pa 4.523 2.198 1.269
Ga 3.016 0.000 0.000
Ge 1.508 2.828 1.633
Pa 1.508 5.421 3.130
Pa 0.000 5.079 0.000
Pa 3.016 5.079 0.000
Ge 1.508 0.000 5.532
Pa 1.508 0.000 2.538
Pa 4.523 5.421 -3.130
Pa 3.016 2.539 4.399
Ge 4.523 0.000 3.265
Pa 4.523 0.000 6.259
Pa 0.000 2.539 4.399
Ge 1.508 4.791 -2.766
Ge 4.523 2.828 -1.633
CELL_PARAMETERS angstrom
6.031 0.000 0.000
0.000 7.618 -4.398
0.000 0.000 8.797
! Uncorrected energy, eV/atom: -7.595
! Density, g/cm3: 11.9
! Energy of formation from the pure elements, eV/atom: -0.444

---

[6]
! PaGa2Ge (PBE, optimized geometry); values from VASP
&SYSTEM
  ibrav = 0, nat = 4, ntyp = 3
/
ATOMIC_SPECIES
Ga 69.72 Ga.upf
Pa 231.04 Pa.upf
Ge 72.64 Ge.upf
ATOMIC_POSITIONS angstrom
Ga -0.934 -1.868 -0.314
Pa -0.487 0.593 -2.075
Ga 1.836 -0.806 -0.662
Ge 0.415 -2.081 -3.051
CELL_PARAMETERS angstrom
-0.975 1.186 -4.151
3.672 -1.613 -1.323
-1.867 -3.735 -0.629
! Uncorrected energy, eV/atom: -5.475
! Density, g/cm3: 9.3
! Polymorph energy (0 for the lowest one), eV/atom: 0.000
! Energy of formation from the pure elements, eV/atom: -0.433

---

[7]
! Pa4GaGe (PBE, optimized geometry); values from VASP
&SYSTEM
  ibrav = 0, nat = 12, ntyp = 3
/
ATOMIC_SPECIES
Ga 69.72 Ga.upf
Pa 231.04 Pa.upf
Ge 72.64 Ge.upf
ATOMIC_POSITIONS angstrom
Ga 4.367 0.000 0.000
Pa 0.000 5.940 2.472
Ge 1.456 3.477 3.477
Ge 4.367 3.477 3.477
Ga 1.456 0.000 0.000
Pa 2.911 5.940 4.483
Pa 2.911 4.483 1.014
Pa 2.911 1.014 2.472
Pa 0.000 2.472 1.014
Pa 0.000 4.483 5.940
Pa 0.000 1.014 4.483
Pa 2.911 2.472 5.940
CELL_PARAMETERS angstrom
5.823 0.000 0.000
0.000 6.954 0.000
0.000 0.000 6.954
! Uncorrected energy, eV/atom: -7.850
! Density, g/cm3: 12.6
! Energy of formation from the pure elements, eV/atom: -0.246

---

[8]
! PaGa2Ge (PBE, optimized geometry); values from VASP
&SYSTEM
  ibrav = 0, nat = 4, ntyp = 3
/
ATOMIC_SPECIES
Pa 231.04 Pa.upf
Ga 69.72 Ga.upf
Ge 72.64 Ge.upf
ATOMIC_POSITIONS angstrom
Pa -1.635 -3.192 1.815
Ga -0.737 -0.325 1.043
Ga -2.772 -1.222 3.925
Ge 0.119 -2.419 -0.669
CELL_PARAMETERS angstrom
-1.961 -2.140 -2.051
2.199 -2.699 0.713
-3.509 -1.546 4.968
! Uncorrected energy, eV/atom: -5.176
! Density, g/cm3: 9.3
! Polymorph energy (0 for the lowest one), eV/atom: 0.299
! Energy of formation from the pure elements, eV/atom: -0.134